No. 1
Computed, not measured: a relaxed RhW2Br crystal at the PBE level of DFT. Values from VASP.

```
&SYSTEM
  ibrav = 0, nat = 4, ntyp = 3
/
ATOMIC_SPECIES
W 183.84 W.upf
Br 79.90 Br.upf
Rh 102.91 Rh.upf
CELL_PARAMETERS angstrom
4.507 -0.385 0.000
0.202 4.519 0.000
-2.354 -2.067 3.263
ATOMIC_POSITIONS angstrom
W 0.000 0.000 0.000
Br 2.354 2.067 0.000
Rh 2.253 -0.192 1.631
W 0.101 2.259 1.631
```

## Properties
- SG = No. 119
- total DFT energy (no corrections) (eV/cell) = -30.42
- D(E_F) (states/eV/f.u.) = 6.8
- E above lowest polymorph (eV per atom) = 0.752

No. 2
Computed, not measured: a relaxed RhW2Br crystal at the PBE level of DFT. Values from VASP.

```
&SYSTEM
  ibrav = 0, nat = 4, ntyp = 3
/
ATOMIC_SPECIES
Rh 102.91 Rh.upf
Br 79.90 Br.upf
W 183.84 W.upf
CELL_PARAMETERS angstrom
-0.992 2.739 -4.463
-1.013 -0.231 -5.227
-4.339 -0.158 0.731
ATOMIC_POSITIONS angstrom
Rh -1.586 0.587 -2.240
Br -4.758 1.762 -6.719
W -2.083 2.418 -9.340
W -3.094 1.264 -4.829
```

## Properties
- SG = No. 12
- total DFT energy (no corrections) (eV/cell) = -31.88
- D(E_F) (states/eV/f.u.) = 2.2
- E above lowest polymorph (eV per atom) = 0.385

No. 3
Computed, not measured: a relaxed RhW2Br crystal at the PBE level of DFT. Values from VASP.

```
&SYSTEM
  ibrav = 0, nat = 4, ntyp = 3
/
ATOMIC_SPECIES
Br 79.90 Br.upf
W 183.84 W.upf
Rh 102.91 Rh.upf
CELL_PARAMETERS angstrom
-0.447 -2.864 -0.239
2.235 0.848 -1.657
5.493 -1.416 6.684
ATOMIC_POSITIONS angstrom
Br 2.717 -0.700 3.306
W 5.475 -1.411 6.663
W 2.185 -1.341 0.622
Rh 5.144 -2.104 4.224
```

## Properties
- SG = No. 35
- total DFT energy (no corrections) (eV/cell) = -32.70
- D(E_F) (states/eV/f.u.) = 3.9
- E above lowest polymorph (eV per atom) = 0.182

No. 4
Computed, not measured: a relaxed RhW2Br crystal at the PBE level of DFT. Values from VASP.

```
&SYSTEM
  ibrav = 0, nat = 4, ntyp = 3
/
ATOMIC_SPECIES
W 183.84 W.upf
Br 79.90 Br.upf
Rh 102.91 Rh.upf
CELL_PARAMETERS angstrom
0.000 3.169 3.169
3.169 0.000 3.169
3.169 3.169 0.000
ATOMIC_POSITIONS angstrom
W 1.584 1.584 1.584
Br 0.000 0.000 0.000
W 4.753 4.753 4.753
Rh 3.169 3.169 3.169
```

## Properties
- SG = No. 225
- total DFT energy (no corrections) (eV/cell) = -31.23
- D(E_F) (states/eV/f.u.) = 3.4
- E above lowest polymorph (eV per atom) = 0.549

V for the records above, in order: 16.67, 17.23, 17.31, 15.91 A^3/atom